Model P:
Computed, not measured: Ba5Y3 after structural relaxation at the PBE level of DFT.

Unit cell a=13.2553 b=13.3408 c=4.3287 alpha=90.00 beta=90.00 gamma=90.00
Closest atoms and distances in Å follow each position.
Space group Cmmm (No. 65)
Unique sites:
Ba 0.0000 0.0000 0.0000 (multiplicity 2)  10 Ba 4.25-4.70, 4 Y 4.35
Ba 0.0000 0.2740 0.5000 (multiplicity 4)  4 Y 3.71-4.15, 4 Ba 3.97
Ba 0.2500 0.2500 0.0000 (multiplicity 4)  6 Ba 3.97-4.33, 4 Y 4.00
Y 0.0000 0.5000 0.0000 (multiplicity 2)  4 Y 3.59, 4 Ba 3.71
Y 0.2156 0.5000 0.5000 (multiplicity 4)  2 Y 3.59, 4 Ba 4.00

Model Q:
Computed, not measured: Ba5Y3 after structural relaxation at the PBE level of DFT.

Unit cell a=11.2865 b=11.2865 c=7.2714 alpha=90.00 beta=90.00 gamma=120.00
Closest atoms and distances in Å follow each position.
Space group P6_3/mcm (No. 193)
Unique sites:
Ba 0.0000 0.2398 0.2500 (multiplicity 6)  5 Y 3.78-4.20
Ba 0.3333 0.6667 0.0000 (multiplicity 4)  2 Ba 3.64, 6 Y 3.82
Y 0.0000 0.4254 0.7500 (multiplicity 6)  9 Ba 3.78-4.20, 2 Y 4.01

In order of decreasing stability: model P, model Q.

Model P:
Computed, not measured: BaYZn after structural relaxation at the PBE level of DFT.

Unit cell a=7.5210 b=7.5210 c=7.5210 alpha=90.00 beta=90.00 gamma=90.00
Closest atoms and distances in Å follow each position.
Space group F-43m (No. 216)
Unique sites:
Ba 0.0000 0.0000 0.0000 (multiplicity 4)  4 Zn 3.26, 4 Y 3.26
Y 0.2500 0.2500 0.2500 (multiplicity 4)  4 Ba 3.26
Zn 0.2500 0.2500 0.7500 (multiplicity 4)  4 Ba 3.26

Model Q:
Computed, not measured: BaYZn after structural relaxation at the PBE level of DFT.

Unit cell a=7.5973 b=7.5973 c=7.5973 alpha=90.00 beta=90.00 gamma=90.00
Closest atoms and distances in Å follow each position.
Space group F-43m (No. 216)
Unique sites:
Ba 0.0000 0.0000 0.0000 (multiplicity 4)  4 Zn 3.29
Y 0.0000 0.0000 0.5000 (multiplicity 4)  4 Zn 3.29
Zn 0.2500 0.2500 0.7500 (multiplicity 4)  4 Ba 3.29, 4 Y 3.29

Model R:
Computed, not measured: BaYZn after structural relaxation at the PBE level of DFT.

Unit cell a=5.1968 b=5.1968 c=4.4539 alpha=90.00 beta=90.00 gamma=120.00
Closest atoms and distances in Å follow each position.
Space group P-6m2 (No. 187)
Unique sites:
Ba 0.0000 0.0000 0.0000 (multiplicity 1)  6 Y 3.74, 6 Zn 3.74
Y 0.6667 0.3333 0.5000 (multiplicity 1)  3 Zn 3.00
Zn 0.3333 0.6667 0.5000 (multiplicity 1)  3 Y 3.00

Model S:
Computed, not measured: BaYZn after structural relaxation at the PBE level of DFT.

Unit cell a=3.8920 b=3.8920 c=7.9821 alpha=90.00 beta=90.00 gamma=120.00
Closest atoms and distances in Å follow each position.
Space group P3m1 (No. 156)
Unique sites:
Ba 0.0000 0.0000 0.0000 (multiplicity 1)  3 Zn 3.42
Y 0.3333 0.6667 0.4306 (multiplicity 1)  3 Zn 2.99
Zn 0.6667 0.3333 0.6776 (multiplicity 1)  3 Y 2.99

In order of decreasing stability: model S, model R, model Q, model P.

Model P:
Computed, not measured: BaY2Zr after structural relaxation at the PBE level of DFT.

Unit cell a=3.5106 b=3.5106 c=10.9116 alpha=90.00 beta=90.00 gamma=90.00
Closest atoms and distances in Å follow each position.
Space group P4mm (No. 99)
Unique sites:
Ba 0.0000 0.0000 0.0000 (multiplicity 1)  4 Ba 3.51, 4 Zr 3.83
Y 0.0000 0.0000 0.5349 (multiplicity 1)  4 Zr 3.29, 8 Y 3.51-3.63
Y 0.5000 0.5000 0.2927 (multiplicity 1)  8 Y 3.51-3.63
Zr 0.5000 0.5000 0.7328 (multiplicity 1)  4 Y 3.29, 4 Zr 3.51

Model Q:
Computed, not measured: BaY2Zr after structural relaxation at the PBE level of DFT.

Unit cell a=11.4113 b=3.5089 c=6.7544 alpha=90.00 beta=97.72 gamma=90.00
Closest atoms and distances in Å follow each position.
Space group C2/m (No. 12)
Unique sites:
Ba 0.0000 0.0000 0.0000 (multiplicity 2)  2 Ba 3.51, 6 Y 3.55-3.78, 4 Zr 3.81
Y 0.2376 0.0000 0.7115 (multiplicity 4)  3 Zr 3.38-3.49, 4 Y 3.40-3.51, 3 Ba 3.55-3.78
Zr 0.0000 0.5000 0.5000 (multiplicity 2)  6 Y 3.38-3.49, 2 Zr 3.51

In order of decreasing stability: model P, model Q.

Model P:
Computed, not measured: BaY2Zr after structural relaxation at the PBE level of DFT.

Unit cell a=3.6565 b=4.4243 c=8.6677 alpha=90.00 beta=90.00 gamma=90.00
Closest atoms and distances in Å follow each position.
Space group Pmmm (No. 47)
Unique sites:
Ba 0.0000 0.0000 0.0000 (multiplicity 1)  2 Ba 3.66, 8 Y 3.93
Y 0.5000 0.5000 0.3102 (multiplicity 2)  3 Y 3.29-3.66, 4 Zr 3.31
Zr 0.0000 0.0000 0.5000 (multiplicity 1)  8 Y 3.31, 2 Zr 3.66

Model Q:
Computed, not measured: BaY2Zr after structural relaxation at the PBE level of DFT.

Unit cell a=11.6615 b=3.4962 c=6.6706 alpha=90.00 beta=96.84 gamma=90.00
Closest atoms and distances in Å follow each position.
Space group Cm (No. 8)
Unique sites:
Ba 0.0000 0.0000 0.0000 (multiplicity 2)  2 Ba 3.50, 7 Y 3.58-3.90, 3 Zr 3.71-3.76
Y 0.0124 0.5000 0.5247 (multiplicity 2)  3 Zr 3.36-3.42, 5 Y 3.45-3.63, 2 Ba 3.64
Y 0.2592 0.5000 0.2865 (multiplicity 2)  2 Zr 3.30, 5 Y 3.45-3.63, 1 Ba 3.58
Zr 0.2492 0.0000 0.7033 (multiplicity 2)  5 Y 3.30-3.42, 2 Zr 3.50

In order of decreasing stability: model P, model Q.